# NaZrTi2 | Alexandria via LeMat-Bulk | PBE | optimized geometry
# * distance to the lowest polymorph of the same formula: 0.0 meV per atom
# * energy relative to the elements: 0.698 eV/atom
# * volume: 329.99 Å³ per cell
data_NaZrTi2
_chemical_formula_sum 'Na4 Zr4 Ti8'
_cell_length_a 6.910
_cell_length_b 6.910
_cell_length_c 6.910
_cell_angle_alpha 90.00
_cell_angle_beta 90.00
_cell_angle_gamma 90.00
_space_group_name_H-M_alt 'F m -3 m'
_space_group_IT_number 225
_space_group_name_Hall '-F 4 2 3'
loop_
_atom_site_label
_atom_site_type_symbol
_atom_site_fract_x
_atom_site_fract_y
_atom_site_fract_z
Na1 Na 0.000 0.000 0.000
Zr1 Zr 0.000 0.000 0.500
Ti1 Ti 0.250 0.250 0.250